Entry 1:
## Tb7CeSm12 (GGA-PBE)

Data for a relaxed structure of Tb7CeSm12.

Cell lengths 8.8390, 8.8390, 8.8390 Å; angles 98.81, 98.81, 98.81 degrees
Element x y z (fractional)
Tb 0.0000 0.0000 0.0000
Tb 0.1620 0.5956 0.5956
Tb 0.4044 0.4044 0.8380
Tb 0.4044 0.8380 0.4044
Tb 0.5956 0.1620 0.5956
Tb 0.5956 0.5956 0.1620
Tb 0.8380 0.4044 0.4044
Ce 0.5000 0.5000 0.5000
Sm 0.0000 0.2610 0.7390
Sm 0.0000 0.7390 0.2610
Sm 0.1448 0.1448 0.4118
Sm 0.1448 0.4118 0.1448
Sm 0.2610 0.0000 0.7390
Sm 0.2610 0.7390 0.0000
Sm 0.4118 0.1448 0.1448
Sm 0.5882 0.8552 0.8552
Sm 0.7390 0.0000 0.2610
Sm 0.7390 0.2610 0.0000
Sm 0.8552 0.5882 0.8552
Sm 0.8552 0.8552 0.5882

Values from the calculation:
Formation energy   0.1086 eV/atom
D(E_F)   1.918 states/eV per atom
Electronic total energy   -92.8 eV for the cell shown


Entry 2:
## PmAgSbAu (GGA-PBE)

Data for a relaxed structure of PmAgSbAu.

Cell lengths 5.0884, 5.0884, 5.0884 Å; angles 60.00, 60.00, 60.00 degrees
Element x y z (fractional)
Pm 0.0000 0.0000 0.0000
Ag 0.7500 0.7500 0.7500
Sb 0.5000 0.5000 0.5000
Au 0.2500 0.2500 0.2500

Values from the calculation:
D(E_F)   0.422 states/eV per atom
Electronic total energy   -16.9 eV for the cell shown


Entry 3:
## Th4TlAu3 (GGA-PBE)

Data for a relaxed structure of Th4TlAu3.

Cell lengths 10.4375, 7.5804, 5.3820 Å; angles 90.00, 90.00, 90.00 degrees
Element x y z (fractional)
Th 0.0000 0.2439 0.0000
Th 0.0000 0.7561 0.0000
Th 0.2500 0.2403 0.4487
Th 0.2500 0.7597 0.4487
Th 0.5000 0.2439 0.0000
Th 0.5000 0.7561 0.0000
Th 0.7500 0.2403 0.5513
Th 0.7500 0.7597 0.5513
Tl 0.0000 0.5000 0.5000
Tl 0.5000 0.5000 0.5000
Au 0.0000 0.0000 0.5000
Au 0.2500 0.0000 0.9434
Au 0.2500 0.5000 0.9196
Au 0.5000 0.0000 0.5000
Au 0.7500 0.0000 0.0566
Au 0.7500 0.5000 0.0804

Values from the calculation:
Formation energy   -0.4145 eV/atom
D(E_F)   1.046 states/eV per atom
Electronic total energy   -90.4 eV for the cell shown


Entry 4:
## BaCoPd3 (GGA-PBE)

Data for a relaxed structure of BaCoPd3.

Cell lengths 5.3545, 5.3545, 5.3545 Å; angles 90.00, 90.00, 90.00 degrees
Element x y z (fractional)
Ba 0.0000 0.0000 0.0000
Co 0.5000 0.5000 0.5000
Pd 0.0000 0.0000 0.5000
Pd 0.0000 0.5000 0.0000
Pd 0.5000 0.0000 0.0000

Values from the calculation:
Formation energy   1.5799 eV/atom
D(E_F)   2.363 states/eV per atom
Electronic total energy   -16.7 eV for the cell shown